Record 1
## PrDy2TiN4 (GGA-PBE)

Data for a relaxed structure of PrDy2TiN4.

a b c (Å): 6.1824 6.1824 11.8836
angles (deg): 90.00 90.00 147.76
Closest atoms and distances in Å follow each position.
Atoms (fractional coordinates):
Pr: 0.0958 0.9042 0.7500  6 N 2.64-2.84
Pr: 0.9042 0.0958 0.2500  6 N 2.64-2.84
Dy: 0.3704 0.6296 0.5393  6 N 2.32-2.59
Dy: 0.3704 0.6296 0.9607  6 N 2.32-2.59
Dy: 0.6296 0.3704 0.0393  6 N 2.32-2.59
Dy: 0.6296 0.3704 0.4607  6 N 2.32-2.59
Ti: 0.1669 0.8331 0.2500  4 N 1.88-2.05
Ti: 0.8331 0.1669 0.7500  4 N 1.88-2.05
N: 0.0000 0.0000 0.0000  4 Dy 2.35
N: 0.0000 0.0000 0.5000  4 Dy 2.35
N: 0.2623 0.7377 0.1233  1 Ti 1.88
N: 0.2623 0.7377 0.3767  1 Ti 1.88
N: 0.4272 0.5728 0.7500  2 Ti 2.05
N: 0.5728 0.4272 0.2500  2 Ti 2.05
N: 0.7377 0.2623 0.6233  1 Ti 1.88
N: 0.7377 0.2623 0.8767  1 Ti 1.88

Its density of states at the Fermi level is 0.3523 states/eV per atom. Its total magnetic moment is 0.00 μB/cell. The calculation puts the total energy at -8.36 eV/atom.

Record 2
## Dy4Cd5Ga2 (GGA-PBE)

Data for a relaxed structure of Dy4Cd5Ga2.

a b c (Å): 7.6507 3.7545 9.4238
angles (deg): 90.00 93.26 90.00
Closest atoms and distances in Å follow each position.
Atoms (fractional coordinates):
Dy: 0.1772 0.0000 0.3620  2 Ga 2.98, 8 Cd 3.26-3.31
Dy: 0.2479 0.0000 0.9329  4 Ga 3.05, 6 Cd 3.24-3.32
Dy: 0.7521 0.0000 0.0671  4 Ga 3.05, 6 Cd 3.24-3.32
Dy: 0.8228 0.0000 0.6380  2 Ga 2.98, 8 Cd 3.26-3.31
Cd: 0.1720 0.5000 0.6452  1 Ga 2.85, 1 Cd 2.93
Cd: 0.4450 0.5000 0.1825  1 Ga 2.95, 2 Cd 3.00-3.27, 2 Dy 3.24
Cd: 0.5000 0.5000 0.5000  4 Cd 2.93-3.00
Cd: 0.5550 0.5000 0.8175  1 Ga 2.95, 2 Cd 3.00-3.27, 2 Dy 3.24
Cd: 0.8280 0.5000 0.3548  1 Ga 2.85, 1 Cd 2.93
Ga: 0.0615 0.5000 0.1293  1 Ga 2.56, 1 Cd 2.85
Ga: 0.9385 0.5000 0.8707  1 Ga 2.56, 1 Cd 2.85

Its density of states at the Fermi level is 0.6425 states/eV per atom. Its total magnetic moment is 0.00 μB/cell. The calculation puts the total energy at -3.00 eV/atom.

Record 3
## Cr2FeTc (GGA-PBE)

Data for a relaxed structure of Cr2FeTc.

a b c (Å): 2.5459 2.5459 7.5265
angles (deg): 90.00 90.00 90.00
Closest atoms and distances in Å follow each position.
Atoms (fractional coordinates):
Cr: 0.0000 0.0000 0.0000  8 Cr 2.55-2.62, 4 Tc 2.77
Cr: 0.5000 0.5000 0.2523  4 Fe 2.45, 8 Cr 2.55-2.62
Fe: 0.0000 0.0000 0.4724  4 Cr 2.45, 4 Fe 2.55, 4 Tc 2.60
Tc: 0.5000 0.5000 0.7208  4 Tc 2.55, 4 Fe 2.60, 4 Cr 2.77

Its density of states at the Fermi level is 1.1823 states/eV per atom. Its total magnetic moment is 0.00 μB/cell. The calculation puts the total energy at -9.32 eV/atom. Its offset from the most stable computed form is 102 meV per atom.

Record 4
## K2Cd9Pt3 (GGA-PBE)

Data for a relaxed structure of K2Cd9Pt3.

a b c (Å): 8.4268 8.4268 11.7364
angles (deg): 111.38 111.38 59.63
Closest atoms and distances in Å follow each position.
Atoms (fractional coordinates):
K: 0.0855 0.2518 0.2488  11 Cd 3.31-3.53
K: 0.2518 0.0855 0.7488  11 Cd 3.31-3.53
K: 0.7482 0.9145 0.2512  11 Cd 3.31-3.53
K: 0.9145 0.7482 0.7512  11 Cd 3.31-3.53
Cd: 0.0222 0.8531 0.0632  3 Pt 2.83-2.88, 4 Cd 3.01-3.16
Cd: 0.1469 0.9778 0.4368  3 Pt 2.83-2.88, 4 Cd 3.01-3.16
Cd: 0.1881 0.3543 0.5598  3 Pt 2.85-2.87, 5 Cd 3.02-3.18
Cd: 0.1988 0.5814 0.2515  2 Pt 2.84, 2 Cd 3.16-3.18
Cd: 0.3177 0.4855 0.9538  3 Pt 2.86-2.90, 3 Cd 2.97-3.02
Cd: 0.3543 0.1881 0.0598  3 Pt 2.85-2.87, 5 Cd 3.02-3.18
Cd: 0.3588 0.6412 0.7500  2 Pt 2.83
Cd: 0.4186 0.8012 0.2485  2 Pt 2.84, 2 Cd 3.16-3.18
Cd: 0.4855 0.3177 0.4538  3 Pt 2.86-2.90, 3 Cd 2.97-3.02
Cd: 0.5145 0.6823 0.5462  3 Pt 2.86-2.90, 3 Cd 2.97-3.02
Cd: 0.5814 0.1988 0.7515  2 Pt 2.84, 2 Cd 3.16-3.18
Cd: 0.6412 0.3588 0.2500  2 Pt 2.83
Cd: 0.6457 0.8119 0.9402  3 Pt 2.85-2.87, 5 Cd 3.02-3.18
Cd: 0.6823 0.5145 0.0462  3 Pt 2.86-2.90, 3 Cd 2.97-3.02
Cd: 0.8012 0.4186 0.7485  2 Pt 2.84, 2 Cd 3.16-3.18
Cd: 0.8119 0.6457 0.4402  3 Pt 2.85-2.87, 5 Cd 3.02-3.18
Cd: 0.8531 0.0222 0.5632  3 Pt 2.83-2.88, 4 Cd 3.01-3.16
Cd: 0.9778 0.1469 0.9368  3 Pt 2.83-2.88, 4 Cd 3.01-3.16
Pt: 0.0000 0.5000 0.0000  8 Cd 2.84-2.88
Pt: 0.1582 0.6716 0.5002  8 Cd 2.83-2.90
Pt: 0.3284 0.8418 0.9998  8 Cd 2.83-2.90
Pt: 0.5000 0.0000 0.5000  8 Cd 2.84-2.88
Pt: 0.6716 0.1582 0.0002  8 Cd 2.83-2.90
Pt: 0.8418 0.3284 0.4998  8 Cd 2.83-2.90

Its density of states at the Fermi level is 0.4578 states/eV per atom. Its total magnetic moment is 0.00 μB/cell. The calculation puts the total energy at -2.26 eV/atom.

Record 5
## SrNb2CoRe (GGA-PBE)

Data for a relaxed structure of SrNb2CoRe.

a b c (Å): 4.8372 4.8372 4.2393
angles (deg): 90.00 90.00 90.00
Closest atoms and distances in Å follow each position.
Atoms (fractional coordinates):
Sr: 0.0000 0.0000 0.0000  2 Co 2.12
Nb: 0.0000 0.5000 0.0000  2 Sr 2.42
Nb: 0.5000 0.0000 0.0000  2 Sr 2.42
Co: 0.0000 0.0000 0.5000  2 Sr 2.12
Re: 0.5000 0.5000 0.5000  8 Nb 3.22, 4 Co 3.42

Its density of states at the Fermi level is 1.0079 states/eV per atom. Its total magnetic moment is 0.00 μB/cell. The calculation puts the total energy at -5.51 eV/atom.

Record 6
## RbPuHg2O6 (GGA-PBE)

Data for a relaxed structure of RbPuHg2O6.

a b c (Å): 6.2400 6.2499 6.2583
angles (deg): 90.01 119.81 119.89
Closest atoms and distances in Å follow each position.
Atoms (fractional coordinates):
Rb: 0.0000 0.0000 0.0000  6 O 2.87
Pu: 0.0000 0.5000 0.5000  6 O 2.02-2.03
Hg: 0.4506 0.7265 0.1754  3 O 2.23-2.24
Hg: 0.5494 0.2735 0.8246  3 O 2.23-2.24
O: 0.1277 0.4642 0.2689  1 Pu 2.02, 1 Hg 2.23
O: 0.1951 0.3382 0.7325  1 Pu 2.02, 1 Hg 2.24
O: 0.3938 0.8571 0.7335  1 Pu 2.03, 1 Hg 2.23
O: 0.6062 0.1429 0.2665  1 Pu 2.03, 1 Hg 2.23
O: 0.8049 0.6618 0.2675  1 Pu 2.02, 1 Hg 2.24
O: 0.8723 0.5358 0.7311  1 Pu 2.02, 1 Hg 2.23

Its total magnetic moment is 1.00 μB/cell. The calculation puts the total energy at -5.92 eV/atom.

Among the records above, which one has the highest total energy?
K2Cd9Pt3